CoTcP2, optimized geometry, DFT PBE; calculated density = 7.2 Mg/m³; formation enthalpy at 0 K = -0.205 eV/atom; SG = No. 166
1.0
1.438 0.830 7.014
-1.438 0.830 7.014
0.000 -1.660 7.014
Co Tc P
1 1 2
Direct
0.000 0.000 0.000
0.500 0.500 0.500
0.253 0.253 0.253
0.747 0.747 0.747